Entry 1:
A crystal of SrZnSe relaxed with PBEsol, computed with SCAN.

Properties
Its uncorrected energy is -0.7134 Ha/atom. The symmetry is F-43m. Its density of states at the Fermi level is 0.0867 states/eV per atom.

Geometry as CIF:
```
data_SrZnSe
_chemical_formula_sum 'Sr1 Zn1 Se1'
_cell_length_a 5.105
_cell_length_b 5.105
_cell_length_c 5.105
_cell_angle_alpha 60.00
_cell_angle_beta 60.00
_cell_angle_gamma 60.00
_symmetry_space_group_name_H-M 'P 1'
_symmetry_Int_Tables_number 1
_symmetry_space_group_name_Hall 'P 1'
loop_
_atom_site_label
_atom_site_fract_x
_atom_site_fract_y
_atom_site_fract_z
Zn1 0.500 0.500 0.500
Se1 0.250 0.250 0.250
Sr1 0.000 0.000 0.000
```

Entry 2:
A crystal of SrZnSe relaxed with PBEsol, computed with SCAN.

Properties
Its uncorrected energy is -0.7162 Ha/atom. The symmetry is F-43m. Its density of states at the Fermi level is 0.0000 states/eV per atom.

Geometry as CIF:
```
data_SrZnSe
_chemical_formula_sum 'Sr1 Zn1 Se1'
_cell_length_a 5.032
_cell_length_b 5.032
_cell_length_c 5.032
_cell_angle_alpha 60.00
_cell_angle_beta 60.00
_cell_angle_gamma 60.00
_symmetry_space_group_name_H-M 'P 1'
_symmetry_Int_Tables_number 1
_symmetry_space_group_name_Hall 'P 1'
loop_
_atom_site_label
_atom_site_fract_x
_atom_site_fract_y
_atom_site_fract_z
Sr1 0.250 0.250 0.250
Zn1 0.000 0.000 0.000
Se1 0.500 0.500 0.500
```

Entry 3:
A crystal of SrZnSe2 relaxed with PBEsol, computed with SCAN.

Properties
Its uncorrected energy is -0.7414 Ha/atom. The symmetry is P2/m. Its density of states at the Fermi level is 0.0380 states/eV per atom.

Geometry as CIF:
```
data_SrZnSe2
_chemical_formula_sum 'Sr1 Zn1 Se2'
_cell_length_a 3.654
_cell_length_b 3.989
_cell_length_c 6.996
_cell_angle_alpha 96.63
_cell_angle_beta 90.00
_cell_angle_gamma 90.00
_symmetry_space_group_name_H-M 'P 1'
_symmetry_Int_Tables_number 1
_symmetry_space_group_name_Hall 'P 1'
loop_
_atom_site_label
_atom_site_fract_x
_atom_site_fract_y
_atom_site_fract_z
Se1 0.000 0.449 0.245
Se2 0.000 0.551 0.755
Sr1 0.500 0.000 0.500
Zn1 0.500 0.500 0.000
```

Entry 4:
A crystal of SrZrZn2Se relaxed with PBEsol, computed with SCAN.

Properties
Its uncorrected energy is -0.7291 Ha/atom. The symmetry is P4/mmm. Its density of states at the Fermi level is 0.6575 states/eV per atom.

Geometry as CIF:
```
data_SrZrZn2Se
_chemical_formula_sum 'Sr1 Zr1 Zn2 Se1'
_cell_length_a 5.010
_cell_length_b 5.062
_cell_length_c 5.062
_cell_angle_alpha 90.00
_cell_angle_beta 90.00
_cell_angle_gamma 90.00
_symmetry_space_group_name_H-M 'P 1'
_symmetry_Int_Tables_number 1
_symmetry_space_group_name_Hall 'P 1'
loop_
_atom_site_label
_atom_site_fract_x
_atom_site_fract_y
_atom_site_fract_z
Sr1 0.500 0.500 0.500
Zn1 0.000 0.000 0.500
Zr1 0.500 0.000 0.000
Se1 0.000 0.000 0.000
Zn2 0.000 0.500 0.000
```